NpSi2Ru4 after structural relaxation. Source: Alexandria via LeMat-Bulk, functional GGA-PBE.

```
NpSi2Ru4
1.0
-2.468 0.348 -3.144
-4.864 -1.947 3.602
-3.158 15.693 4.217
Ru Si Np
16 8 4
direct
0.750 0.856 0.465
0.750 0.506 0.572
0.750 0.781 0.815
0.250 0.006 0.928
0.250 0.281 0.685
0.250 0.702 0.687
0.250 0.494 0.428
0.250 0.356 0.035
0.750 0.298 0.313
0.750 0.719 0.315
0.750 0.644 0.965
0.250 0.219 0.185
0.750 0.202 0.813
0.750 0.994 0.072
0.250 0.798 0.187
0.250 0.144 0.535
0.250 0.766 0.040
0.250 0.734 0.540
0.750 0.266 0.460
0.250 0.508 0.283
0.750 0.492 0.717
0.250 0.992 0.783
0.750 0.008 0.217
0.750 0.234 0.960
0.250 0.495 0.861
0.750 0.995 0.639
0.750 0.505 0.139
0.250 0.005 0.361
```

Calculated values
For the magnetization, the calculation gives 8.9 Bohr magnetons per cell. The total DFT energy (no corrections) is -9.146 eV/atom. For the formation energy from raw total energies, the calculation gives -0.447 eV/atom. For the density of states at the Fermi level, the calculation gives 36.1 states/eV/cell. As for the space-group type: Pnma.